# 1
First-principles (PBE) data for a relaxed PrMg crystal, as listed in Alexandria.

Values from the calculation:
DOS(E_F): 1.2560 states/eV/atom
Formation energy from the elements: -0.112 eV/atom

Lattice parameters (Å, degrees): 3.917 3.917 3.917 90.00 90.00 90.00
Fractional positions:
Pr  0.500  0.500  0.500
Mg  0.000  0.000  0.000

***

# 2
First-principles (PBE) data for a relaxed BeFeIr2 crystal, as listed in Alexandria.

Values from the calculation:
DOS(E_F): 0.6342 states/eV/atom
Formation energy from the elements: 0.021 eV/atom

Lattice parameters (Å, degrees): 3.899 3.899 4.689 65.43 65.43 60.00
Last column: magnetic moment on the atom in μB.
Fractional positions:
Ir  0.270  0.270  0.189  0.01
Ir  0.065  0.065  0.806  0.06
Fe  0.487  0.487  0.539  2.63
Be  0.678  0.678  0.966  -0.01

***

# 3
First-principles (PBE) data for a relaxed La2NbGaF crystal, as listed in Alexandria.

Values from the calculation:
Uncorrected formation energy: -292 meV/atom
DOS(E_F): 0.8940 states/eV/atom

Lattice parameters (Å, degrees): 5.545 4.986 5.545 90.00 90.00 90.00
Fractional positions:
La  0.000  0.000  0.500
La  0.500  0.000  0.000
Ga  0.000  0.500  0.000
Nb  0.000  0.000  0.000
F  0.500  0.500  0.500

***

# 4
First-principles (PBE) data for a relaxed VFe2Pd5 crystal, as listed in Alexandria.

Values from the calculation:
Energy above the lowest structure with this stoichiometry: 0 meV/atom
DOS(E_F): 0.7231 states/eV/atom
Formation energy from the elements: -0.148 eV/atom

Lattice parameters (Å, degrees): 3.864 5.467 10.938 90.00 90.00 90.00
Last column: magnetic moment on the atom in μB.
Fractional positions:
V  0.000  0.500  0.000  -1.74
V  0.000  0.000  0.500  -1.74
Pd  0.000  0.513  0.245  0.20
Pd  0.500  0.738  0.881  0.16
Pd  0.000  0.487  0.755  0.20
Pd  0.500  0.238  0.619  0.16
Pd  0.000  0.013  0.255  0.20
Pd  0.000  0.500  0.500  0.15
Pd  0.000  0.000  0.000  0.15
Pd  0.500  0.762  0.381  0.16
Pd  0.500  0.262  0.119  0.16
Pd  0.000  0.987  0.745  0.20
Fe  0.500  0.746  0.624  3.04
Fe  0.500  0.246  0.876  3.04
Fe  0.500  0.754  0.124  3.04
Fe  0.500  0.254  0.376  3.04

***

# 5
First-principles (PBE) data for a relaxed KGeRu3 crystal, as listed in Alexandria.

Values from the calculation:
Energy above the lowest structure with this stoichiometry: 1663 meV/atom
DOS(E_F): 1.5154 states/eV/atom
Formation energy from the elements: 2.841 eV/atom

Lattice parameters (Å, degrees): 4.707 4.707 4.707 90.00 90.00 90.00
Last column: magnetic moment on the atom in μB.
Fractional positions:
Ru  0.500  0.000  0.000  1.59
Ru  0.000  0.000  0.500  1.52
Ru  0.000  0.500  0.000  1.75
Ge  0.500  0.500  0.500  -0.09
K  0.000  0.000  0.000  0.02

***

# 6
First-principles (PBE) data for a relaxed SmEr2Sc crystal, as listed in Alexandria.

Values from the calculation:
Energy above the lowest structure with this stoichiometry: 15 meV/atom
DOS(E_F): 1.4222 states/eV/atom
Formation energy from the elements: 0.043 eV/atom

Lattice parameters (Å, degrees): 6.944 6.937 13.912 119.80 89.87 59.91
Fractional positions:
Sc  0.249  0.506  0.629
Sc  0.749  0.006  0.129
Sc  0.251  0.994  0.871
Sc  0.751  0.494  0.371
Er  0.248  0.502  0.875
Er  0.252  0.998  0.625
Er  0.753  0.998  0.875
Er  0.747  0.502  0.625
Er  0.748  0.002  0.375
Er  0.247  0.002  0.125
Er  0.253  0.498  0.375
Er  0.752  0.498  0.125
Sm  0.749  0.504  0.877
Sm  0.251  0.496  0.123
Sm  0.249  0.004  0.378
Sm  0.751  0.996  0.622

***

# 7
First-principles (PBE) data for a relaxed LiAg2Os crystal, as listed in Alexandria.

Values from the calculation:
Energy above the lowest structure with this stoichiometry: 124 meV/atom
DOS(E_F): 0.4615 states/eV/atom
Formation energy from the elements: 0.404 eV/atom

Lattice parameters (Å, degrees): 2.637 4.304 5.599 90.00 90.00 90.00
Fractional positions:
Ag  0.000  0.000  0.502
Ag  0.000  0.000  0.998
Os  0.500  0.500  0.750
Li  0.500  0.500  0.250

***

# 8
First-principles (PBE) data for a relaxed CoTcRu2 crystal, as listed in Alexandria.

Values from the calculation:
Energy above the lowest structure with this stoichiometry: 48 meV/atom
DOS(E_F): 1.1516 states/eV/atom
Formation energy from the elements: 0.135 eV/atom

Lattice parameters (Å, degrees): 8.786 8.786 8.786 17.60 17.60 17.60
Last column: magnetic moment on the atom in μB.
Fractional positions:
Ru  0.002  0.002  0.002  0.16
Ru  0.498  0.498  0.498  0.16
Tc  0.250  0.250  0.250  -0.12
Co  0.750  0.750  0.750  1.59

***

# 9
First-principles (PBE) data for a relaxed CaSe2Cl crystal, as listed in Alexandria.

Values from the calculation:
Energy above the lowest structure with this stoichiometry: 544 meV/atom
Uncorrected formation energy: -742 meV/atom
DOS(E_F): 1.6311 states/eV/atom

Lattice parameters (Å, degrees): 7.848 7.848 7.848 34.48 34.48 34.48
Fractional positions:
Se  0.111  0.111  0.111
Se  0.889  0.889  0.889
Cl  0.000  0.000  0.000
Ca  0.500  0.500  0.500

***

# 10
First-principles (PBE) data for a relaxed La4Zn5Pt6 crystal, as listed in Alexandria.

Values from the calculation:
DOS(E_F): 0.3653 states/eV/atom
Formation energy from the elements: -0.847 eV/atom

Lattice parameters (Å, degrees): 4.162 10.402 15.480 90.00 90.00 101.54
Fractional positions:
Pt  0.232  0.465  0.755
Pt  0.881  0.761  0.618
Pt  0.784  0.569  0.989
Pt  0.571  0.142  0.633
Pt  0.559  0.119  0.356
Pt  0.768  0.535  0.255
Pt  0.422  0.844  0.403
Pt  0.441  0.881  0.856
Pt  0.119  0.239  0.118
Pt  0.578  0.156  0.903
Pt  0.216  0.431  0.489
Pt  0.429  0.858  0.133
Zn  0.698  0.395  0.115
Zn  0.151  0.302  0.628
Zn  0.640  0.280  0.486
Zn  0.660  0.319  0.766
Zn  0.302  0.605  0.615
Zn  0.340  0.681  0.266
Zn  0.440  0.881  0.675
Zn  0.849  0.698  0.128
Zn  0.360  0.720  0.986
Zn  0.560  0.119  0.175
La  0.813  0.627  0.441
La  0.006  0.011  0.514
La  0.835  0.671  0.804
La  0.032  0.064  0.772
La  0.187  0.373  0.941
La  0.968  0.936  0.272
La  0.165  0.329  0.304
La  0.994  0.989  0.014

***

# 11
First-principles (PBE) data for a relaxed KLiTe2N crystal, as listed in Alexandria.

Values from the calculation:
Energy above the lowest structure with this stoichiometry: 0 meV/atom
Uncorrected formation energy: 452 meV/atom
DOS(E_F): 0.8335 states/eV/atom

Lattice parameters (Å, degrees): 6.042 6.042 3.612 90.00 90.00 90.00
Last column: magnetic moment on the atom in μB.
Fractional positions:
K  0.500  0.500  0.500  0.00
Te  0.000  0.500  0.000  -0.03
Te  0.500  0.000  0.000  -0.03
N  0.000  0.000  0.500  1.15
Li  0.000  0.000  0.000  0.01

***

# 12
First-principles (PBE) data for a relaxed TlSb2PdI crystal, as listed in Alexandria.

Values from the calculation:
Energy above the lowest structure with this stoichiometry: 0 meV/atom
Uncorrected formation energy: 146 meV/atom
DOS(E_F): 1.0026 states/eV/atom

Lattice parameters (Å, degrees): 5.219 5.219 6.065 90.00 90.00 90.00
Last column: magnetic moment on the atom in μB.
Fractional positions:
I  0.000  0.000  0.500  0.06
Pd  0.000  0.000  0.000  0.10
Tl  0.500  0.500  0.500  0.01
Sb  0.500  0.000  0.000  0.16
Sb  0.000  0.500  0.000  0.16

***

The highest DOS(E_F) belongs to which entry? CaSe2Cl

***

Number 3 is which compound? La2NbGaF

***

Which formula does entry 9 have? CaSe2Cl